1 | A relaxed InPd5Au4 crystal, computed with GGA-PBE.

Density ... 14.056 g cm⁻³
V ... 169.50 Å³ per cell
Spin magnetization ... 0.0 μB/f.u.

Cell lengths 3.3230, 3.3230, 15.3499 Å; angles 90.00, 90.00, 90.00 degrees
Sites, in units of the cell vectors:
Au (0.0000, 0.0000, 0.4007)
In (0.0000, 0.0000, 0.0000)
Pd (0.5000, 0.5000, 0.9020)
Au (0.0000, 0.0000, 0.5993)
Pd (0.5000, 0.5000, 0.3005)
Pd (0.5000, 0.5000, 0.5000)
Pd (0.5000, 0.5000, 0.0980)
Au (0.0000, 0.0000, 0.2024)
Au (0.0000, 0.0000, 0.7976)
Pd (0.5000, 0.5000, 0.6995)

***

2 | A relaxed InPd5Au4 crystal, computed with GGA-PBE.

Density ... 12.915 g cm⁻³
V ... 184.48 Å³ per cell
Spin magnetization ... 0.0 μB/f.u.

Cell lengths 5.4603, 6.4218, 6.4218 Å; angles 79.59, 64.84, 64.84 degrees
Sites, in units of the cell vectors:
Pd (0.6999, 0.1388, 0.3613)
Au (0.5246, 0.6091, 0.2553)
Pd (0.0612, 0.6387, 0.1388)
Pd (0.8387, 0.3613, 0.8612)
Au (0.1336, 0.2553, 0.3909)
Pd (0.6727, 0.0000, 0.0000)
Pd (0.2000, 0.8612, 0.6387)
In (0.2106, 0.0000, 0.0000)
Au (0.7799, 0.7447, 0.6091)
Au (0.3890, 0.3909, 0.7447)

***

Stability ranking, top and bottom: 1 is the most stable and 2 is the least stable.

***

1 | A relaxed In2PdAu2 crystal, computed with GGA-PBE.

Density ... 11.779 g cm⁻³
V ... 205.82 Å³ per cell
Spin magnetization ... 0.0 μB/f.u.

Cell lengths 4.5944, 4.5944, 11.2593 Å; angles 90.00, 90.00, 120.00 degrees
Sites, in units of the cell vectors:
In (0.6667, 0.3333, 0.1087)
Pd (0.0000, 0.0000, 0.7500)
Au (0.3333, 0.6667, 0.2500)
Pd (0.0000, 0.0000, 0.2500)
In (0.6667, 0.3333, 0.3913)
Au (0.6667, 0.3333, 0.7500)
Au (0.0000, 0.0000, 0.0000)
In (0.3333, 0.6667, 0.6087)
Au (0.0000, 0.0000, 0.5000)
In (0.3333, 0.6667, 0.8913)

***

2 | A relaxed In2PdAu2 crystal, computed with GGA-PBE.

Density ... 11.025 g cm⁻³
V ... 109.95 Å³ per cell
Spin magnetization ... 0.0 μB/f.u.

Cell lengths 4.1717, 4.1717, 6.9724 Å; angles 72.59, 72.59, 90.00 degrees
Sites, in units of the cell vectors:
Pd (0.0000, 0.0000, 0.0000)
In (0.2500, 0.7500, 0.5000)
In (0.7500, 0.2500, 0.5000)
Au (0.3971, 0.3971, 0.2059)
Au (0.6029, 0.6029, 0.7941)

***

Stability ranking, top and bottom: 1 is the most stable and 2 is the least stable.

***

1 | A relaxed In2PdAu2 crystal, computed with GGA-PBE.

Density ... 11.460 g cm⁻³
V ... 105.77 Å³ per cell
Spin magnetization ... 0.0 μB/f.u.

Cell lengths 3.7666, 3.7666, 7.9169 Å; angles 76.24, 76.24, 90.00 degrees
Sites, in units of the cell vectors:
Au (0.7500, 0.2500, 0.5000)
In (0.5966, 0.5966, 0.8068)
Pd (0.0000, 0.0000, 0.0000)
In (0.4034, 0.4034, 0.1932)
Au (0.2500, 0.7500, 0.5000)

***

2 | A relaxed In2PdAu2 crystal, computed with GGA-PBE.

Density ... 12.072 g cm⁻³
V ... 200.82 Å³ per cell
Spin magnetization ... 0.0 μB/f.u.

Cell lengths 7.4713, 7.4713, 3.5977 Å; angles 90.00, 90.00, 90.00 degrees
Sites, in units of the cell vectors:
Pd (0.5000, 0.5000, 0.0000)
Au (0.3653, 0.8653, 0.0000)
Au (0.8653, 0.6347, 0.0000)
Au (0.6347, 0.1347, 0.0000)
In (0.3299, 0.1701, 0.5000)
In (0.1701, 0.6701, 0.5000)
Au (0.1347, 0.3653, 0.0000)
Pd (0.0000, 0.0000, 0.0000)
In (0.8299, 0.3299, 0.5000)
In (0.6701, 0.8299, 0.5000)

***

3 | A relaxed In2PdAu2 crystal, computed with GGA-PBE.

Density ... 11.892 g cm⁻³
V ... 203.87 Å³ per cell
Spin magnetization ... 0.0 μB/f.u.

Cell lengths 7.4532, 7.4532, 3.6700 Å; angles 90.00, 90.00, 90.00 degrees
Sites, in units of the cell vectors:
Pd (0.0000, 0.0000, 0.0000)
In (0.8374, 0.6626, 0.0000)
Au (0.8611, 0.3611, 0.5000)
Au (0.1389, 0.6389, 0.5000)
Au (0.3611, 0.1389, 0.5000)
In (0.1626, 0.3374, 0.0000)
In (0.6626, 0.1626, 0.0000)
In (0.3374, 0.8374, 0.0000)
Pd (0.5000, 0.5000, 0.0000)
Au (0.6389, 0.8611, 0.5000)

***

Stability ranking, top and bottom: 2 is the most stable and 1 is the least stable.

***

1 | A relaxed InPdAu5 crystal, computed with GGA-PBE.

Density ... 10.550 g cm⁻³
V ... 189.84 Å³ per cell
Spin magnetization ... 0.0 μB/f.u.

Cell lengths 5.1757, 9.2559, 6.6195 Å; angles 134.36, 113.01, 90.00 degrees
Sites, in units of the cell vectors:
Pd (0.2701, 0.0000, 0.0000)
Au (0.9318, 0.1718, 0.3436)
Au (0.9531, 0.2379, 0.0000)
Au (0.5882, 0.8282, 0.6564)
In (0.6648, 0.5000, 0.0000)
Au (0.1697, 0.5000, 0.0000)
Au (0.9531, 0.7621, 0.0000)

***

2 | A relaxed InPdAu5 crystal, computed with GGA-PBE.

Density ... 14.751 g cm⁻³
V ... 271.54 Å³ per cell
Spin magnetization ... 0.0 μB/f.u.

Cell lengths 5.7004, 7.2121, 7.2121 Å; angles 97.76, 104.54, 104.54 degrees
Sites, in units of the cell vectors:
Pd (0.5000, 0.5000, 0.5000)
Au (0.3677, 0.2270, 0.7681)
In (0.7500, 0.3494, 0.1506)
Au (0.2500, 0.3898, 0.1102)
Au (0.0164, 0.1518, 0.3843)
In (0.2500, 0.6506, 0.8494)
Au (0.8677, 0.2681, 0.7270)
Au (0.6323, 0.7730, 0.2319)
Au (0.9836, 0.8482, 0.6157)
Au (0.1323, 0.7319, 0.2730)
Au (0.5164, 0.8843, 0.6518)
Au (0.7500, 0.6102, 0.8898)
Pd (0.0000, 0.0000, 0.0000)
Au (0.4836, 0.1157, 0.3482)

***

Stability ranking, top and bottom: 2 is the most stable and 1 is the least stable.

***

1 | A relaxed InPd4Au2 crystal, computed with GGA-PBE.

Density ... 12.020 g cm⁻³
V ... 129.09 Å³ per cell
Spin magnetization ... 0.0 μB/f.u.

Cell lengths 5.5226, 5.5226, 5.5226 Å; angles 113.83, 107.34, 107.34 degrees
Sites, in units of the cell vectors:
Pd (0.0000, 0.5000, 0.0000)
Pd (0.0000, 0.0000, 0.5000)
Au (0.5000, 0.0000, 0.5000)
Pd (0.5000, 0.0000, 0.0000)
Pd (0.5000, 0.5000, 0.5000)
In (0.0000, 0.0000, 0.0000)
Au (0.5000, 0.5000, 0.0000)

***

2 | A relaxed InPd4Au2 crystal, computed with GGA-PBE.

Density ... 13.213 g cm⁻³
V ... 234.88 Å³ per cell
Spin magnetization ... 0.0 μB/f.u.

Cell lengths 5.5464, 6.8722, 7.5227 Å; angles 104.30, 112.47, 105.51 degrees
Sites, in units of the cell vectors:
In (0.3529, 0.6577, 0.4759)
Pd (0.9531, 0.7435, 0.5959)
Au (0.6644, 0.9364, 0.3346)
Au (0.5318, 0.3190, 0.3043)
Pd (0.7932, 0.0757, 0.7649)
Pd (0.2479, 0.0263, 0.4478)
Pd (0.9399, 0.2255, 0.1924)
Pd (0.2229, 0.5115, 0.0529)
Pd (0.5058, 0.7938, 0.9038)
Au (0.6687, 0.4477, 0.7397)
In (0.0922, 0.8860, 0.0198)
Pd (0.3826, 0.1657, 0.8795)
Pd (0.8108, 0.5978, 0.1614)
Au (0.0836, 0.3635, 0.6271)

***

Stability ranking, top and bottom: 2 is the most stable and 1 is the least stable.